{"formula": "Tl2WOF5", "functional": "PBE with a Hubbard U", "state": "optimized geometry", "cell": [[6.4280, -0.2113, -0.3066], [-3.2381, 5.5569, 0.3066], [-3.2381, -1.6923, 5.3018]], "species": ["Tl", "Tl", "W", "O", "F", "F", "F", "F", "F"], "fractional_positions": [[0.5000, 0.2249, 0.7249], [0.5000, 0.7249, 0.2249], [0.0000, 0.9875, 0.9875], [0.0000, 0.7976, 0.7976], [0.4517, 0.2406, 0.2406], [0.5483, 0.7890, 0.7890], [0.0000, 0.7890, 0.2406], [0.0000, 0.2406, 0.7890], [0.0000, 0.2061, 0.2061]], "final_energy_ev_per_atom": -5.166, "dos_ef_per_ev_atom": 0.000, "density_g_cm3": 6.4, "space_group": "No. 107"}